Entry 1:
The following is a DFT calculation (PBE-GGA) of an optimized crystal structure of CaZnHg2.

The space group is R3m (No. 160, hexagonal axes) and the conventional cell measures 4.0145, 4.0145 and 22.6816 Å, with angles of 90.00, 90.00 and 120.00 degrees. The distinct sites, in fractional coordinates, are Ca at (0.0000, 0.0000, 0.0000), Zn at (0.0000, 0.0000, 0.1672), Hg at (0.0000, 0.0000, 0.4273) and Hg at (0.0000, 0.0000, 0.5720).

Its crystal system is trigonal.



Entry 2:
The following is a DFT calculation (PBE-GGA) of an optimized crystal structure of MnZn2Co.

The space group is P4mm (No. 99) and the conventional cell measures 2.598, 2.598 and 7.339 Å, with angles of 90.00, 90.00 and 90.00 degrees. The distinct sites, in fractional coordinates, are Mn at (0.000, 0.000, 0.000), Zn at (0.000, 0.000, 0.548), Zn at (0.500, 0.500, 0.256) and Co at (0.500, 0.500, 0.794).

Its crystal system is tetragonal. The calculation puts the energy above the lowest structure with this stoichiometry at 0.058 eV per atom.



Number 1: formation enthalpy at 0 K -18.3 kJ per mole of atoms. Number 2: formation enthalpy at 0 K 1.5 kJ per mole of atoms.